No. 1
This record from OQMD via LeMat-Bulk describes TbSmNO after structural relaxation. The functional is PBE-GGA.

The space group is Pmc2_1 (No. 26) and the conventional cell measures 3.912, 6.810 and 5.630 Å, with angles of 90.00, 90.00 and 90.00 degrees. The distinct sites, in fractional coordinates, are Tb at (0.000, 0.174, 0.000), Sm at (0.500, 0.346, 0.492), N at (0.500, 0.320, 0.909) and O at (0.000, 0.147, 0.396).

For the total energy, the calculation gives -7.69 eV/atom.

***

No. 2
This record from OQMD via LeMat-Bulk describes Pr2Sm2CI2Br3 after structural relaxation. The functional is PBE-GGA.

The space group is C2/m (No. 12) and the conventional cell measures 18.733, 4.019 and 8.578 Å, with angles of 90.00, 101.84 and 90.00 degrees. The distinct sites, in fractional coordinates, are Pr at (0.003, 0.000, 0.295), Sm at (0.135, 0.500, 0.565), C at (0.000, 0.500, 0.500), I at (0.169, 0.000, 0.847), Br at (0.000, 0.500, 0.000) and Br at (0.171, 0.000, 0.338).

For the total energy, the calculation gives -4.93 eV/atom.

***

No. 3
This record from OQMD via LeMat-Bulk describes TbReTe after structural relaxation. The functional is PBE-GGA.

The space group is F-43m (No. 216) and the conventional cell measures 6.659, 6.659 and 6.659 Å, with angles of 90.00, 90.00 and 90.00 degrees. The distinct sites, in fractional coordinates, are Tb at (0.000, 0.000, 0.000), Re at (0.000, 0.000, 0.500) and Te at (0.250, 0.250, 0.750).

For the total energy, the calculation gives -6.19 eV/atom.

***

No. 4
This record from OQMD via LeMat-Bulk describes Au2F after structural relaxation. The functional is PBE-GGA.

The space group is P4_2/mnm (No. 136) and the conventional cell measures 5.152, 5.152 and 4.041 Å, with angles of 90.00, 90.00 and 90.00 degrees. The distinct sites, in fractional coordinates, are Au at (0.188, 0.188, 0.000) and F at (0.000, 0.000, 0.500).

For the total energy, the calculation gives -2.67 eV/atom.

***

No. 5
This record from OQMD via LeMat-Bulk describes Zr2AgAu after structural relaxation. The functional is PBE-GGA.

The space group is Pmc2_1 (No. 26) and the conventional cell measures 4.986, 6.495 and 4.986 Å, with angles of 90.00, 90.00 and 90.00 degrees. The distinct sites, in fractional coordinates, are Zr at (0.000, 0.143, 0.000), Zr at (0.500, 0.149, 0.499), Ag at (0.000, 0.384, 0.500) and Au at (0.500, 0.373, 0.999).

The energy of formation comes out at -33 kJ per mole of atoms.

***

No. 6
This record from OQMD via LeMat-Bulk describes ScCuSiHg after structural relaxation. The functional is PBE-GGA.

The space group is F-43m (No. 216) and the conventional cell measures 6.548, 6.548 and 6.548 Å, with angles of 90.00, 90.00 and 90.00 degrees. The distinct sites, in fractional coordinates, are Sc at (0.000, 0.000, 0.000), Cu at (0.000, 0.000, 0.500), Si at (0.250, 0.250, 0.250) and Hg at (0.250, 0.250, 0.750).

For the total energy, the calculation gives -4.05 eV/atom.

***

No. 7
This record from OQMD via LeMat-Bulk describes DyHoC2Cl2 after structural relaxation. The functional is PBE-GGA.

The space group is Cm (No. 8) and the conventional cell measures 6.901, 3.717 and 10.670 Å, with angles of 90.00, 95.58 and 90.00 degrees. The distinct sites, in fractional coordinates, are Dy at (0.000, 0.000, 0.000), Ho at (0.292, 0.000, 0.277), C at (0.072, 0.500, 0.176), C at (0.219, 0.500, 0.103), Cl at (0.324, 0.000, 0.839) and Cl at (0.466, 0.500, 0.437).

For the total energy, the calculation gives -6.47 eV/atom.

***

No. 8
This record from OQMD via LeMat-Bulk describes TbDyFe2Pb after structural relaxation. The functional is PBE-GGA.

The space group is Amm2 (No. 38) and the conventional cell measures 3.829, 3.899 and 14.302 Å, with angles of 90.00, 90.00 and 90.00 degrees. The distinct sites, in fractional coordinates, are Tb at (0.000, 0.000, 0.000), Dy at (0.000, 0.000, 0.724), Fe at (0.500, 0.000, 0.157), Fe at (0.500, 0.000, 0.568) and Pb at (0.500, 0.000, 0.362).

For the total energy, the calculation gives -6.11 eV/atom.

***

No. 9
This record from OQMD via LeMat-Bulk describes Tb2ErCd3Au3 after structural relaxation. The functional is PBE-GGA.

The space group is Amm2 (No. 38) and the conventional cell measures 3.918, 13.461 and 7.798 Å, with angles of 90.00, 90.00 and 90.00 degrees. The distinct sites, in fractional coordinates, are Tb at (0.000, 0.202, 0.000), Er at (0.000, 0.000, 0.605), Cd at (0.500, 0.000, 0.939), Cd at (0.500, 0.131, 0.333), Au at (0.000, 0.000, 0.203) and Au at (0.500, 0.165, 0.701).

The energy of formation comes out at -64 kJ per mole of atoms.

***

No. 10
This record from OQMD via LeMat-Bulk describes Na3Sr2NdPb3 after structural relaxation. The functional is PBE-GGA.

The space group is P-6m2 (No. 187) and the conventional cell measures 5.3092, 5.3092 and 11.7512 Å, with angles of 90.00, 90.00 and 120.00 degrees. The distinct sites, in fractional coordinates, are Na at (0.0000, 0.0000, 0.0000), Na at (0.3333, 0.6667, 0.3117), Sr at (0.6667, 0.3333, 0.1638), Nd at (0.6667, 0.3333, 0.5000), Pb at (0.0000, 0.0000, 0.3629) and Pb at (0.3333, 0.6667, 0.0000).

For the total energy, the calculation gives -2.92 eV/atom.

***

No. 11
This record from OQMD via LeMat-Bulk describes Y2HoTl3AgIr2 after structural relaxation. The functional is PBE-GGA.

The space group is Amm2 (No. 38) and the conventional cell measures 3.802, 13.556 and 7.879 Å, with angles of 90.00, 90.00 and 90.00 degrees. The distinct sites, in fractional coordinates, are Y at (0.000, 0.206, 0.000), Ho at (0.000, 0.000, 0.619), Tl at (0.500, 0.000, 0.936), Tl at (0.500, 0.136, 0.341), Ag at (0.000, 0.000, 0.207) and Ir at (0.500, 0.164, 0.704).

For the total energy, the calculation gives -5.45 eV/atom.

***

No. 12
This record from OQMD via LeMat-Bulk describes InCuMo4Se8 after structural relaxation. The functional is PBE-GGA.

The space group is F-43m (No. 216) and the conventional cell measures 10.641, 10.641 and 10.641 Å, with angles of 90.00, 90.00 and 90.00 degrees. The distinct sites, in fractional coordinates, are In at (0.000, 0.000, 0.000), Cu at (0.250, 0.250, 0.750), Mo at (0.101, 0.101, 0.399), Se at (0.127, 0.127, 0.627) and Se at (0.142, 0.142, 0.142).

For the total energy, the calculation gives -6.01 eV/atom.

***

No. 13
This record from OQMD via LeMat-Bulk describes PuPtW after structural relaxation. The functional is PBE-GGA.

The space group is F-43m (No. 216) and the conventional cell measures 6.239, 6.239 and 6.239 Å, with angles of 90.00, 90.00 and 90.00 degrees. The distinct sites, in fractional coordinates, are Pu at (0.000, 0.000, 0.000), Pt at (0.000, 0.000, 0.500) and W at (0.250, 0.250, 0.250).

The energy of formation comes out at 82 kJ per mole of atoms.

***

No. 14
This record from OQMD via LeMat-Bulk describes BaBeSiPd after structural relaxation. The functional is PBE-GGA.

The space group is F-43m (No. 216) and the conventional cell measures 6.848, 6.848 and 6.848 Å, with angles of 90.00, 90.00 and 90.00 degrees. The distinct sites, in fractional coordinates, are Ba at (0.000, 0.000, 0.000), Be at (0.250, 0.250, 0.250), Si at (0.250, 0.250, 0.750) and Pd at (0.000, 0.000, 0.500).

For the total energy, the calculation gives -3.75 eV/atom.

***

No. 15
This record from OQMD via LeMat-Bulk describes BaZrMo after structural relaxation. The functional is PBE-GGA.

The space group is F-43m (No. 216) and the conventional cell measures 6.907, 6.907 and 6.907 Å, with angles of 90.00, 90.00 and 90.00 degrees. The distinct sites, in fractional coordinates, are Ba at (0.000, 0.000, 0.000), Zr at (0.000, 0.000, 0.500) and Mo at (0.250, 0.250, 0.250).

For the total energy, the calculation gives -5.97 eV/atom.

***

No. 16
This record from OQMD via LeMat-Bulk describes ScReW after structural relaxation. The functional is PBE-GGA.

The space group is Amm2 (No. 38) and the conventional cell measures 8.629, 5.370 and 9.247 Å, with angles of 90.00, 90.00 and 90.00 degrees. The distinct sites, in fractional coordinates, are Sc at (0.184, 0.000, 0.000), Sc at (0.308, 0.000, 0.666), Re at (0.000, 0.000, 0.506), Re at (0.000, 0.241, 0.747), Re at (0.500, 0.000, 0.162), W at (0.246, 0.000, 0.331) and W at (0.500, 0.245, 0.919).

The energy of formation comes out at -18 kJ per mole of atoms.

***

No. 17
This record from OQMD via LeMat-Bulk describes NbCd2In after structural relaxation. The functional is PBE-GGA.

The space group is F-43m (No. 216) and the conventional cell measures 6.954, 6.954 and 6.954 Å, with angles of 90.00, 90.00 and 90.00 degrees. The distinct sites, in fractional coordinates, are Nb at (0.000, 0.000, 0.000), Cd at (0.000, 0.000, 0.500), Cd at (0.250, 0.250, 0.250) and In at (0.250, 0.250, 0.750).

For the total energy, the calculation gives -3.28 eV/atom.